Density functional theory data (PBE) for crystalline Ac2GePd4Pb2 at its relaxed geometry.

a = 6.702 Å, b = 6.702 Å, c = 6.702 Å
α = 117.83°, β = 117.83°, γ = 93.80°
Positions (direct):
1 Ac 0.250 0.750 0.500
2 Ac 0.750 0.250 0.500
3 Ge 0.000 0.000 0.000
4 Pd 0.253 0.253 0.507
5 Pd 0.253 0.747 0.000
6 Pd 0.747 0.253 0.000
7 Pd 0.747 0.747 0.493
8 Pb 0.326 0.326 0.000
9 Pb 0.674 0.674 0.000

Output
DOS(E_F): 4.14 states/eV/f.u.
SG: I4/mmm (139)
Formation energy from the elements: -0.560 eV per atom

Density functional theory data (PBE) for crystalline ThScNbC3 at its relaxed geometry.

a = 5.801 Å, b = 3.545 Å, c = 8.712 Å
α = 90.00°, β = 102.09°, γ = 90.00°
Positions (direct):
1 Th 0.149 0.250 0.199
2 Th 0.851 0.750 0.801
3 Sc 0.267 0.750 0.547
4 Sc 0.733 0.250 0.453
5 Nb 0.366 0.250 0.860
6 Nb 0.634 0.750 0.140
7 C 0.063 0.250 0.668
8 C 0.270 0.750 0.978
9 C 0.462 0.750 0.337
10 C 0.538 0.250 0.663
11 C 0.730 0.250 0.022
12 C 0.937 0.750 0.332

Output
DOS(E_F): 2.36 states/eV/f.u.
SG: P2_1/m (11)
Formation energy from the elements: -0.327 eV per atom

Density functional theory data (PBE) for crystalline RbSn2Pb2 at its relaxed geometry.

a = 9.285 Å, b = 9.285 Å, c = 4.230 Å
α = 90.00°, β = 90.00°, γ = 90.00°
Positions (direct):
1 Rb 0.000 0.000 0.000
2 Rb 0.500 0.500 0.000
3 Sn 0.118 0.382 0.000
4 Sn 0.382 0.882 0.000
5 Sn 0.618 0.118 0.000
6 Sn 0.882 0.618 0.000
7 Pb 0.140 0.640 0.500
8 Pb 0.360 0.140 0.500
9 Pb 0.640 0.860 0.500
10 Pb 0.860 0.360 0.500

Output
E above lowest polymorph: 53 meV per atom
DOS(E_F): 2.60 states/eV/f.u.
SG: P4/mbm (127)
Formation energy from the elements: -0.065 eV per atom

Density functional theory data (PBE) for crystalline PaAl2 at its relaxed geometry.

a = 6.440 Å, b = 6.440 Å, c = 6.440 Å
α = 151.80°, β = 151.80°, γ = 40.31°
Positions (direct):
1 Pa 0.000 0.000 0.000
2 Al 0.319 0.319 0.000
3 Al 0.681 0.681 0.000

Output
DOS(E_F): 3.82 states/eV/f.u.
SG: I4/mmm (139)
Formation energy from the elements: -0.107 eV per atom

Density functional theory data (PBE) for crystalline Ba5Sr2Tl at its relaxed geometry.

a = 10.453 Å, b = 19.343 Å, c = 4.382 Å
α = 90.00°, β = 90.00°, γ = 90.00°
Positions (direct):
1 Ba 0.000 0.000 0.000
2 Ba 0.006 0.225 0.000
3 Ba 0.196 0.393 0.500
4 Ba 0.304 0.893 0.500
5 Ba 0.494 0.725 0.000
6 Ba 0.500 0.500 0.000
7 Ba 0.506 0.275 0.000
8 Ba 0.696 0.107 0.500
9 Ba 0.804 0.607 0.500
10 Ba 0.994 0.775 0.000
11 Sr 0.188 0.605 0.500
12 Sr 0.312 0.105 0.500
13 Sr 0.688 0.895 0.500
14 Sr 0.812 0.395 0.500
15 Tl 0.000 0.500 0.000
16 Tl 0.500 0.000 0.000

Output
DOS(E_F): 10.44 states/eV/f.u.
SG: Pbam (55)
Formation energy from the elements: -0.089 eV per atom

Density functional theory data (PBE) for crystalline Rb2MgSn4Ge3 at its relaxed geometry.

a = 4.955 Å, b = 4.955 Å, c = 12.314 Å
α = 90.00°, β = 90.00°, γ = 90.00°
Positions (direct):
1 Rb 0.000 0.500 0.250
2 Rb 0.500 0.000 0.750
3 Mg 0.000 0.000 0.500
4 Sn 0.000 0.000 0.000
5 Sn 0.000 0.500 0.629
6 Sn 0.500 0.000 0.371
7 Sn 0.500 0.500 0.000
8 Ge 0.000 0.500 0.874
9 Ge 0.500 0.000 0.126
10 Ge 0.500 0.500 0.500

Output
DOS(E_F): 2.74 states/eV/f.u.
SG: P-4m2 (115)
Formation energy from the elements: -0.086 eV per atom